# NiMoRu3

An optimized crystal structure of NiMoRu3 (GGA-PBE, Alexandria via LeMat-Bulk).

Values from the calculation:
Raw total energy in eV for the cell shown: -35.3
Formation energy in eV/atom: 1.82
SG: Pm-3m, No. 221
DOS at the Fermi energy in states/eV/f.u.: 4.9

```
5
Lattice="-0.998 4.437 0.822 -1.994 0.322 -4.157 -4.049 -1.252 1.845" Properties=species:S:1:pos:R:3 pbc="T T T"
Ru -0.997 0.161 -2.079
Ru -2.024 -0.626 0.922
Ru -0.499 2.219 0.411
Mo 0.000 0.000 0.000
Ni -3.520 1.754 -0.745
```

=====

# NiMoRu

An optimized crystal structure of NiMoRu (GGA-PBE, Alexandria via LeMat-Bulk).

Values from the calculation:
Raw total energy in eV for the cell shown: -103.5
Formation energy in eV/atom: 0.00
SG: C2/m, No. 12
DOS at the Fermi energy in states/eV/f.u.: 2.6

```
12
Lattice="-3.395 -0.651 -4.183 2.842 -1.125 -2.131 0.386 -7.289 4.362" Properties=species:S:1:pos:R:3 pbc="T T T"
Ni -0.257 -6.190 2.925
Ni -2.753 -1.751 -2.746
Ni 0.971 -3.108 -0.322
Ni -1.139 -5.958 -1.631
Mo -1.019 -1.385 -0.627
Mo -1.991 -6.555 0.806
Mo 0.595 -5.593 0.488
Mo -0.763 -3.473 -2.441
Ru -1.505 -3.970 0.089
Ru -0.277 -0.888 -3.157
Ru 1.421 -0.562 -1.066
Ru 0.193 -3.645 2.181
```

=====

# Ni2MoRu

An optimized crystal structure of Ni2MoRu (GGA-PBE, Alexandria via LeMat-Bulk).

Values from the calculation:
Raw total energy in eV for the cell shown: -31.0
Formation energy in eV/atom: 0.17
SG: P4/mmm, No. 123
DOS at the Fermi energy in states/eV/f.u.: 5.9

```
4
Lattice="3.152 0.000 0.000 0.000 3.152 0.000 0.000 0.000 5.234" Properties=species:S:1:pos:R:3 pbc="T T T"
Mo 1.576 1.576 3.926
Ni 0.000 0.000 5.222
Ni 0.000 0.000 2.629
Ru 1.576 1.576 1.309
```

=====

# Ni2MoRu

An optimized crystal structure of Ni2MoRu (GGA-PBE, Alexandria via LeMat-Bulk).

Values from the calculation:
Raw total energy in eV for the cell shown: -31.8
Formation energy in eV/atom: -0.03
SG: P4/mmm, No. 123
DOS at the Fermi energy in states/eV/f.u.: 3.5

```
4
Lattice="-3.051 -0.138 2.017 -0.890 -3.186 -1.564 1.901 -1.879 2.747" Properties=species:S:1:pos:R:3 pbc="T T T"
Ru -0.575 -1.009 2.382
Mo 0.506 -2.533 0.591
Ni 0.000 0.000 0.000
Ni -1.970 -1.662 0.226
```

=====

# Ni2MoRu

An optimized crystal structure of Ni2MoRu (GGA-PBE, Alexandria via LeMat-Bulk).

Values from the calculation:
Raw total energy in eV for the cell shown: -52.6
Formation energy in eV/atom: 1.34
SG: I-42d, No. 122
DOS at the Fermi energy in states/eV/f.u.: 3.9

```
8
Lattice="-1.264 2.061 -4.678 -2.543 -4.434 -1.267 -6.340 0.769 -0.911" Properties=species:S:1:pos:R:3 pbc="T T T"
Ru 0.000 0.000 0.000
Ru -4.754 0.822 -4.281
Mo -1.903 -1.186 -2.972
Mo -5.393 -2.426 -2.575
Ni -2.703 0.942 -3.346
Ni -3.322 -2.337 -1.567
Ni -6.163 -0.278 -2.903
Ni -8.106 -1.534 -5.895
```

=====

# Ni2MoRu

An optimized crystal structure of Ni2MoRu (GGA-PBE, Alexandria via LeMat-Bulk).

Values from the calculation:
Raw total energy in eV for the cell shown: -31.8
Formation energy in eV/atom: -0.04
SG: I-4m2, No. 119
DOS at the Fermi energy in states/eV/f.u.: 4.3

```
4
Lattice="4.556 -0.030 -0.055 1.544 4.286 0.055 -3.019 -2.172 2.632" Properties=species:S:1:pos:R:3 pbc="T T T"
Ru 3.050 2.128 0.000
Mo 0.787 2.121 1.344
Ni 0.000 0.000 0.000
Ni 2.293 -0.037 1.288
```

=====

# Ni2MoRu

An optimized crystal structure of Ni2MoRu (GGA-PBE, Alexandria via LeMat-Bulk).

Values from the calculation:
Raw total energy in eV for the cell shown: -31.5
Formation energy in eV/atom: 0.05
SG: Cm, No. 8
DOS at the Fermi energy in states/eV/f.u.: 5.2

```
4
Lattice="4.542 -0.019 0.015 3.774 2.528 0.015 0.720 0.217 4.488" Properties=species:S:1:pos:R:3 pbc="T T T"
Mo 2.298 0.693 1.116
Ni 0.734 0.222 4.429
Ni 6.779 2.046 3.437
Ru 4.462 1.346 2.284
```

=====

# NiMoRu

An optimized crystal structure of NiMoRu (GGA-PBE, Alexandria via LeMat-Bulk).

Values from the calculation:
Raw total energy in eV for the cell shown: -51.7
Formation energy in eV/atom: 0.01
SG: C2/c, No. 15
DOS at the Fermi energy in states/eV/f.u.: 3.4

```
6
Lattice="-2.222 3.667 1.674 -3.433 1.934 -2.466 -3.613 -1.496 2.494" Properties=species:S:1:pos:R:3 pbc="T T T"
Ni -5.076 3.377 -0.478
Ni -4.192 0.727 2.180
Mo -6.100 2.595 1.883
Mo -3.168 1.509 -0.181
Ru -3.526 3.310 1.727
Ru -5.743 0.794 -0.026
```

=====

# Ni2MoRu2

An optimized crystal structure of Ni2MoRu2 (GGA-PBE, Alexandria via LeMat-Bulk).

Values from the calculation:
Raw total energy in eV for the cell shown: -38.3
Formation energy in eV/atom: 0.52
SG: I4/mmm, No. 139
DOS at the Fermi energy in states/eV/f.u.: 7.0

```
5
Lattice="-1.768 1.768 5.630 1.768 -1.768 5.630 1.768 1.768 -5.630" Properties=species:S:1:pos:R:3 pbc="T T T"
Ni 0.000 0.000 6.729
Ni 0.000 0.000 4.530
Mo 0.000 0.000 0.000
Ru 1.768 0.000 2.815
Ru 0.000 1.768 2.815
```

=====

# NiMoRu

An optimized crystal structure of NiMoRu (GGA-PBE, Alexandria via LeMat-Bulk).

Values from the calculation:
Raw total energy in eV for the cell shown: -102.9
Formation energy in eV/atom: 0.06
SG: C2/m, No. 12
DOS at the Fermi energy in states/eV/f.u.: 3.3

```
12
Lattice="5.298 0.000 -0.007 0.000 3.895 0.000 -2.902 0.000 7.977" Properties=species:S:1:pos:R:3 pbc="T T T"
Ni 2.494 0.000 3.988
Ni -0.097 0.000 3.982
Ni 3.944 1.947 -0.001
Ni -1.548 1.947 7.971
Mo -0.314 0.000 6.628
Mo 2.711 0.000 1.342
Mo 1.137 1.947 2.639
Mo 1.260 1.947 5.331
Ru 2.367 0.000 6.681
Ru 0.030 0.000 1.289
Ru 3.817 1.947 2.692
Ru -1.421 1.947 5.278
```

=====

# NiMoRu

An optimized crystal structure of NiMoRu (GGA-PBE, Alexandria via LeMat-Bulk).

Values from the calculation:
Raw total energy in eV for the cell shown: -52.0
Formation energy in eV/atom: -0.04
SG: Cmcm, No. 63
DOS at the Fermi energy in states/eV/f.u.: 2.7

```
6
Lattice="-1.253 2.352 -0.613 -3.229 -1.031 2.643 3.905 1.931 5.524" Properties=species:S:1:pos:R:3 pbc="T T T"
Ni 2.122 2.519 5.322
Ni -2.699 0.734 2.231
Mo -0.472 2.845 5.776
Mo -0.106 0.407 1.777
Ru 0.404 2.660 3.278
Ru -0.981 0.592 4.275
```

=====

# Ni3MoRu

An optimized crystal structure of Ni3MoRu (GGA-PBE, Alexandria via LeMat-Bulk).

Values from the calculation:
Raw total energy in eV for the cell shown: -149.9
Formation energy in eV/atom: 0.00
SG: C2/c, No. 15
DOS at the Fermi energy in states/eV/f.u.: 6.6

```
20
Lattice="6.478 0.562 2.163 3.234 6.409 3.993 0.770 0.562 6.786" Properties=species:S:1:pos:R:3 pbc="T T T"
Ni 3.347 2.912 8.535
Ni 1.211 1.416 5.898
Ni 7.134 4.621 4.406
Ni 9.270 6.117 7.044
Ni 5.241 1.207 7.919
Ni 2.207 3.121 4.174
Ni 5.241 6.326 5.023
Ni 8.274 4.412 8.768
Ni 4.668 3.868 4.308
Ni 8.854 6.870 9.477
Ni 5.814 3.665 8.633
Ni 1.628 0.663 3.465
Mo 3.889 5.369 9.218
Mo 6.592 2.164 3.723
Mo 6.762 5.369 6.891
Mo 3.719 2.164 6.050
Ru 4.133 1.449 3.571
Ru 6.230 2.879 6.160
Ru 6.348 6.084 9.371
Ru 4.251 4.654 6.781
```

=====

# NiMoRu3

An optimized crystal structure of NiMoRu3 (GGA-PBE, Alexandria via LeMat-Bulk).

Values from the calculation:
Raw total energy in eV for the cell shown: -36.8
Formation energy in eV/atom: 1.52
SG: Pm-3m, No. 221
DOS at the Fermi energy in states/eV/f.u.: 8.2

```
5
Lattice="4.365 0.000 0.000 0.000 4.365 0.000 0.000 0.000 4.365" Properties=species:S:1:pos:R:3 pbc="T T T"
Ru 0.000 2.182 0.000
Ru 0.000 0.000 2.182
Ru 2.182 0.000 0.000
Mo 2.182 2.182 2.182
Ni 0.000 0.000 0.000
```

=====

# Ni2MoRu

An optimized crystal structure of Ni2MoRu (GGA-PBE, Alexandria via LeMat-Bulk).

Values from the calculation:
Raw total energy in eV for the cell shown: -31.0
Formation energy in eV/atom: 0.18
SG: R-3m, No. 166
DOS at the Fermi energy in states/eV/f.u.: 5.1

```
4
Lattice="-7.651 3.659 2.226 -8.361 2.636 -0.112 -8.444 1.136 2.070" Properties=species:S:1:pos:R:3 pbc="T T T"
Mo -18.342 5.573 3.137
Ni -24.416 7.419 4.176
Ni -12.268 3.728 2.098
Ru -6.114 1.858 1.046
```

=====

# NiMoRu2

An optimized crystal structure of NiMoRu2 (GGA-PBE, Alexandria via LeMat-Bulk).

Values from the calculation:
Raw total energy in eV for the cell shown: -34.8
Formation energy in eV/atom: 0.10
SG: Cm, No. 8
DOS at the Fermi energy in states/eV/f.u.: 5.0

```
4
Lattice="4.664 0.002 -0.003 3.875 2.595 -0.003 0.746 0.227 4.561" Properties=species:S:1:pos:R:3 pbc="T T T"
Mo 4.664 1.419 2.227
Ni 2.330 0.709 1.153
Ru 0.741 0.225 4.530
Ru 6.938 2.110 3.481
```

=====

# Ni2MoRu

An optimized crystal structure of Ni2MoRu (GGA-PBE, Alexandria via LeMat-Bulk).

Values from the calculation:
Raw total energy in eV for the cell shown: -31.2
Formation energy in eV/atom: 0.11
SG: P4/mmm, No. 123
DOS at the Fermi energy in states/eV/f.u.: 7.2

```
4
Lattice="2.606 0.000 0.000 0.000 2.606 0.000 0.000 0.000 7.631" Properties=species:S:1:pos:R:3 pbc="T T T"
Mo 1.303 1.303 5.723
Ni 0.000 0.000 0.056
Ni 0.000 0.000 3.760
Ru 1.303 1.303 1.908
```

=====

# Ni2MoRu

An optimized crystal structure of Ni2MoRu (GGA-PBE, Alexandria via LeMat-Bulk).

Values from the calculation:
Raw total energy in eV for the cell shown: -31.4
Formation energy in eV/atom: 0.07
SG: P4mm, No. 99
DOS at the Fermi energy in states/eV/f.u.: 4.5

```
4
Lattice="3.103 0.000 0.000 0.000 3.103 0.000 0.000 0.000 5.414" Properties=species:S:1:pos:R:3 pbc="T T T"
Mo 1.552 1.552 4.129
Ni 0.000 0.000 0.100
Ni 1.552 1.552 1.202
Ru 0.000 0.000 2.691
```

=====

# NiMoRu2

An optimized crystal structure of NiMoRu2 (GGA-PBE, Alexandria via LeMat-Bulk).

Values from the calculation:
Raw total energy in eV for the cell shown: -34.3
Formation energy in eV/atom: 0.22
SG: P4mm, No. 99
DOS at the Fermi energy in states/eV/f.u.: 6.0

```
4
Lattice="-2.300 1.744 -1.275 -1.490 0.067 2.780 2.777 4.669 1.376" Properties=species:S:1:pos:R:3 pbc="T T T"
Mo 1.449 2.436 0.718
Ni 0.188 4.407 1.785
Ru 2.683 4.510 1.329
Ru -1.167 2.129 1.113
```

=====

# NiMoRu2

An optimized crystal structure of NiMoRu2 (GGA-PBE, Alexandria via LeMat-Bulk).

Values from the calculation:
Raw total energy in eV for the cell shown: -33.9
Formation energy in eV/atom: 0.32
SG: F-43m, No. 216
DOS at the Fermi energy in states/eV/f.u.: 5.0

```
4
Lattice="-3.087 2.100 -2.111 -1.935 -1.839 -3.357 -4.077 -1.293 0.319" Properties=species:S:1:pos:R:3 pbc="T T T"
Mo -4.550 -0.516 -2.575
Ni -6.825 -0.774 -3.862
Ru 0.000 0.000 0.000
Ru -2.275 -0.258 -1.287
```

=====

# NiMoRu

An optimized crystal structure of NiMoRu (GGA-PBE, Alexandria via LeMat-Bulk).

Values from the calculation:
Raw total energy in eV for the cell shown: -25.8
Formation energy in eV/atom: 0.02
SG: Imm2, No. 44
DOS at the Fermi energy in states/eV/f.u.: 3.5

```
3
Lattice="4.630 0.001 0.001 2.279 4.030 -0.001 -3.054 -2.701 2.193" Properties=species:S:1:pos:R:3 pbc="T T T"
Ru 4.636 2.705 0.000
Mo 6.898 4.024 0.000
Ni 2.283 1.332 0.000
```